The following is a DFT calculation (PBE with a Hubbard U) of an optimized crystal structure of Dy2MnF8.

Cell lengths 7.6057, 7.6057, 5.3771 Å; angles 108.86, 108.86, 27.50 degrees
Positions (direct):
Dy (0.1752, 0.1752, 0.1848)
Dy (0.8248, 0.8248, 0.8152)
Mn (0.5000, 0.5000, 0.5000)
F (0.0442, 0.0442, 0.3260)
F (0.2204, 0.2204, 0.8278)
F (0.3202, 0.3202, 0.5375)
F (0.4057, 0.4057, 0.0683)
F (0.5943, 0.5943, 0.9317)
F (0.6798, 0.6798, 0.4625)
F (0.7796, 0.7796, 0.1722)
F (0.9558, 0.9558, 0.6740)

Results
* space group: No. 12
* N(E_F): 0.00 states/eV/f.u.
* V: 12.31 Å³ per atom
* VASP energy: -72.4 eV per cell
* magnetic moment: 5.00 μB per formula unit